(1)
Below is InTeOsI2 at its PBEsol-relaxed geometry, with properties calculated at the meta-GGA SCAN level.

It has space group P4/mmm (No. 123), with a = 5.593 Å, b = 5.593 Å, c = 4.949 Å, α = 90.00°, β = 90.00° and γ = 90.00°. Symmetry generates all atoms from In at (0.000, 0.000, 0.000), Te at (0.500, 0.500, 0.000), Os at (0.500, 0.500, 0.500) and I at (0.000, 0.500, 0.500).

As for the calculated volume: 30.97 Å³ per atom.



(2)
Below is LiW2Cl at its PBEsol-relaxed geometry, with properties calculated at the meta-GGA SCAN level.

It has space group P4/mmm (No. 123), with a = 4.497 Å, b = 4.497 Å, c = 2.718 Å, α = 90.00°, β = 90.00° and γ = 90.00°. Symmetry generates all atoms from Li at (0.000, 0.000, 0.000), W at (0.000, 0.500, 0.500) and Cl at (0.500, 0.500, 0.000).

As for the calculated volume: 13.74 Å³ per atom. The value obtained for the energy relative to the lowest polymorph listed for this composition is 0.6618 eV per atom.



(3)
Below is CoCuAu2 at its PBEsol-relaxed geometry, with properties calculated at the meta-GGA SCAN level.

It has space group P4/mmm (No. 123), with a = 4.528 Å, b = 4.528 Å, c = 2.741 Å, α = 90.00°, β = 90.00° and γ = 90.00°. Symmetry generates all atoms from Co at (0.000, 0.000, 0.000), Cu at (0.500, 0.500, 0.000) and Au at (0.000, 0.500, 0.500).

As for the calculated volume: 14.05 Å³ per atom. For the formation enthalpy at 0 K, the calculation gives 60 meV per atom.



(4)
Below is ZrMnSi3 at its PBEsol-relaxed geometry, with properties calculated at the meta-GGA SCAN level.

It has space group Pm-3m (No. 221), with a = 4.335 Å, b = 4.335 Å, c = 4.335 Å, α = 90.00°, β = 90.00° and γ = 90.00°. Symmetry generates all atoms from Zr at (0.000, 0.000, 0.000), Mn at (0.500, 0.500, 0.500) and Si at (0.000, 0.500, 0.500).

As for the calculated volume: 16.30 Å³ per atom.



(5)
Below is ReNiIr2 at its PBEsol-relaxed geometry, with properties calculated at the meta-GGA SCAN level.

It has space group P4/mmm (No. 123), with a = 2.708 Å, b = 2.708 Å, c = 7.289 Å, α = 90.00°, β = 90.00° and γ = 90.00°. Symmetry generates all atoms from Re at (0.000, 0.000, 0.000), Ni at (0.000, 0.000, 0.500) and Ir at (0.500, 0.500, 0.257).

As for the calculated volume: 13.36 Å³ per atom. The value obtained for the energy relative to the lowest polymorph listed for this composition is 0.0427 eV per atom. For the formation enthalpy at 0 K, the calculation gives -114 meV per atom.



(6)
Below is CdIr3 at its PBEsol-relaxed geometry, with properties calculated at the meta-GGA SCAN level.

It has space group Fm-3m (No. 225), with a = 6.258 Å, b = 6.258 Å, c = 6.258 Å, α = 90.00°, β = 90.00° and γ = 90.00°. Symmetry generates all atoms from Cd at (0.000, 0.000, 0.000), Ir at (0.000, 0.000, 0.500) and Ir at (0.250, 0.250, 0.250).

As for the calculated volume: 15.31 Å³ per atom. For the formation enthalpy at 0 K, the calculation gives 560 meV per atom.



(7)
Below is Cd2CoNi at its PBEsol-relaxed geometry, with properties calculated at the meta-GGA SCAN level.

It has space group R-3m (No. 166, hexagonal axes), with a = 2.8171 Å, b = 2.8171 Å, c = 25.8412 Å, α = 90.00°, β = 90.00° and γ = 120.00°. Symmetry generates all atoms from Cd at (0.0000, 0.0000, 0.2491), Co at (0.0000, 0.0000, 0.0000) and Ni at (0.0000, 0.0000, 0.5000).

As for the calculated volume: 14.80 Å³ per atom. The value obtained for the energy relative to the lowest polymorph listed for this composition is 0.0500 eV per atom. For the formation enthalpy at 0 K, the calculation gives 306 meV per atom.



(8)
Below is CuReNi at its PBEsol-relaxed geometry, with properties calculated at the meta-GGA SCAN level.

It has space group F-43m (No. 216), with a = 5.445 Å, b = 5.445 Å, c = 5.445 Å, α = 90.00°, β = 90.00° and γ = 90.00°. Symmetry generates all atoms from Cu at (0.000, 0.000, 0.000), Re at (0.000, 0.000, 0.500) and Ni at (0.250, 0.250, 0.750).

As for the calculated volume: 13.46 Å³ per atom. For the formation enthalpy at 0 K, the calculation gives 543 meV per atom.



(9)
Below is La2SnSbPd at its PBEsol-relaxed geometry, with properties calculated at the meta-GGA SCAN level.

It has space group P4/mmm (No. 123), with a = 5.549 Å, b = 5.549 Å, c = 4.936 Å, α = 90.00°, β = 90.00° and γ = 90.00°. Symmetry generates all atoms from La at (0.000, 0.500, 0.000), Sn at (0.000, 0.000, 0.500), Sb at (0.500, 0.500, 0.500) and Pd at (0.500, 0.500, 0.000).

As for the calculated volume: 30.40 Å³ per atom.



(10)
Below is Li2P2Ru at its PBEsol-relaxed geometry, with properties calculated at the meta-GGA SCAN level.

It has space group P4/mbm (No. 127), with a = 5.920 Å, b = 5.920 Å, c = 3.822 Å, α = 90.00°, β = 90.00° and γ = 90.00°. Symmetry generates all atoms from Li at (0.176, 0.324, 0.000), P at (0.131, 0.631, 0.500) and Ru at (0.000, 0.000, 0.500).

As for the calculated volume: 13.40 Å³ per atom. For the formation enthalpy at 0 K, the calculation gives -702 meV per atom.



(11)
Below is SrBe2Pt at its PBEsol-relaxed geometry, with properties calculated at the meta-GGA SCAN level.

It has space group Cmmm (No. 65), with a = 5.769 Å, b = 7.402 Å, c = 2.915 Å, α = 90.00°, β = 90.00° and γ = 90.00°. Symmetry generates all atoms from Sr at (0.000, 0.000, 0.000), Be at (0.250, 0.250, 0.500) and Pt at (0.000, 0.500, 0.000).

As for the calculated volume: 15.56 Å³ per atom. The value obtained for the energy relative to the lowest polymorph listed for this composition is 1.1768 eV per atom. For the formation enthalpy at 0 K, the calculation gives 507 meV per atom.



(12)
Below is MgZn2Cd at its PBEsol-relaxed geometry, with properties calculated at the meta-GGA SCAN level.

It has space group Amm2 (No. 38), with a = 4.309 Å, b = 3.126 Å, c = 10.428 Å, α = 90.00°, β = 90.00° and γ = 90.00°. Symmetry generates all atoms from Mg at (0.000, 0.000, 0.000), Zn at (0.000, 0.000, 0.269), Zn at (0.500, 0.000, 0.399) and Cd at (0.500, 0.000, 0.663).

As for the calculated volume: 17.56 Å³ per atom. The value obtained for the energy relative to the lowest polymorph listed for this composition is 0.0000 eV per atom. For the formation enthalpy at 0 K, the calculation gives -61 meV per atom.



Let's list total energy in order: -42.787 -36.048 -42.644 -15.514 -57.482 -60.368 -23.271 -33.614 -39.050 -12.783 -24.787 -15.666 eV/atom.